No. 1
Density functional theory data (GGA-PBE) for an optimized crystal structure of CsAs2P2.

The structure in extended XYZ format:
```
5
Lattice="-2.620 -3.321 1.999 5.528 -0.691 2.827 -2.491 5.277 2.232" Properties=species:S:1:pos:R:3 pbc="T T T"
Cs 0.000 0.000 0.000
As -1.174 1.661 3.426
As 1.591 -0.397 3.632
P -0.717 -0.611 3.537
P 1.134 1.875 3.521
```

Output
* DOS(E_F): 1.59 states/eV per cell
* distance to the lowest polymorph of the same formula: 0.000 eV/atom
* DFT formation energy: -118 meV/atom
* space group: C2/m, No. 12

No. 2
Density functional theory data (GGA-PBE) for an optimized crystal structure of Cs2AsP.

The structure in extended XYZ format:
```
4
Lattice="4.305 0.002 0.000 2.150 6.284 0.187 2.152 2.389 5.815" Properties=species:S:1:pos:R:3 pbc="T T T"
Cs 2.150 5.429 0.231
Cs 4.303 4.597 3.817
As 2.152 1.820 2.004
P 6.455 7.450 3.137
```

Output
* DOS(E_F): 1.23 states/eV per cell
* distance to the lowest polymorph of the same formula: 0.000 eV/atom
* DFT formation energy: -323 meV/atom
* space group: Imm2, No. 44

No. 3
Density functional theory data (GGA-PBE) for an optimized crystal structure of CsAs2P2.

The structure in extended XYZ format:
```
5
Lattice="-3.676 -1.885 -2.206 2.762 -3.364 -1.728 -1.643 -6.171 3.041" Properties=species:S:1:pos:R:3 pbc="T T T"
Cs 0.000 0.000 0.000
P -2.888 -5.340 -0.566
P 0.331 -6.080 -0.327
As -0.873 -3.868 -0.211
As -1.684 -7.553 -0.681
```

Output
* DOS(E_F): 1.14 states/eV per cell
* distance to the lowest polymorph of the same formula: 0.003 eV/atom
* DFT formation energy: -115 meV/atom
* space group: I4/mmm, No. 139

No. 4
Density functional theory data (GGA-PBE) for an optimized crystal structure of CsAsP.

The structure in extended XYZ format:
```
6
Lattice="-3.726 1.663 -0.577 -4.434 -5.502 -1.937 -4.232 -2.489 5.439" Properties=species:S:1:pos:R:3 pbc="T T T"
Cs -10.713 -5.142 3.200
Cs -4.518 -1.978 1.738
As -5.823 -5.442 0.185
As -7.646 -4.016 1.352
P -7.580 -3.006 3.824
P -1.458 -0.949 -0.350
```

Output
* DOS(E_F): 1.65 states/eV per cell
* distance to the lowest polymorph of the same formula: 0.140 eV/atom
* DFT formation energy: -209 meV/atom
* space group: Imma, No. 74

No. 5
Density functional theory data (GGA-PBE) for an optimized crystal structure of CsAs2P2.

The structure in extended XYZ format:
```
10
Lattice="7.014 -0.016 0.007 3.491 6.737 0.005 3.507 -0.008 6.274" Properties=species:S:1:pos:R:3 pbc="T T T"
Cs 9.632 5.037 1.576
Cs 4.380 1.675 4.711
As 9.633 5.036 6.114
As 7.888 1.669 2.968
As 4.379 1.676 0.173
As 6.124 5.044 3.318
P 6.129 3.456 1.578
P 7.891 0.080 4.707
P 6.121 6.633 1.579
P 7.883 3.257 4.708
```

Output
* DOS(E_F): 4.15 states/eV per cell
* distance to the lowest polymorph of the same formula: 0.083 eV/atom
* DFT formation energy: -35 meV/atom
* space group: P-1, No. 2

No. 6
Density functional theory data (GGA-PBE) for an optimized crystal structure of Cs2As2P.

The structure in extended XYZ format:
```
5
Lattice="-5.125 -1.701 -4.949 3.963 -5.786 -2.115 -2.280 -5.810 -1.062" Properties=species:S:1:pos:R:3 pbc="T T T"
Cs -3.993 -5.628 -4.772
Cs 0.551 -7.670 -3.355
P 0.000 0.000 0.000
As -1.201 -4.498 -2.631
As -2.241 -8.800 -5.496
```

Output
* DOS(E_F): 3.31 states/eV per cell
* distance to the lowest polymorph of the same formula: 0.000 eV/atom
* DFT formation energy: -125 meV/atom
* space group: I4/mmm, No. 139

What did the third record say?
Density functional theory data (GGA-PBE) for an optimized crystal structure of CsAs2P2.

The structure in extended XYZ format:
```
5
Lattice="-3.676 -1.885 -2.206 2.762 -3.364 -1.728 -1.643 -6.171 3.041" Properties=species:S:1:pos:R:3 pbc="T T T"
Cs 0.000 0.000 0.000
P -2.888 -5.340 -0.566
P 0.331 -6.080 -0.327
As -0.873 -3.868 -0.211
As -1.684 -7.553 -0.681
```

Output
* DOS(E_F): 1.14 states/eV per cell
* distance to the lowest polymorph of the same formula: 0.003 eV/atom
* DFT formation energy: -115 meV/atom
* space group: I4/mmm, No. 139